First-principles (PBE+U) data for an optimized crystal structure of Rb2MnSeF6, as listed in Alexandria via LeMat-Bulk.

Output
magnetic moment = 6.0 μB per cell
V = 372.2 Å³ per cell
final energy = -4.613 eV per atom

Lattice parameters (Å, degrees): 6.653 6.653 8.409 90.00 90.00 90.00
Space group I4/mmm (No. 139)
Symmetry-distinct sites (fractional):
1 Rb 0.000 0.500 0.250 [4 per cell]
2 Mn 0.000 0.000 0.000 [2 per cell]
3 Se 0.000 0.000 0.500 [2 per cell]
4 F 0.000 0.000 0.265 [4 per cell]
5 F 0.212 0.212 0.000 [8 per cell]